Entry 1:
The following is a DFT calculation (PBE) of LaCdIr2 after structural relaxation.

The value obtained for the formation energy from the elements is 136.5 kJ/mol of formula units. The calculation puts the mass density at 13.5 Mg/m³.

The space group is R3m (No. 160, hexagonal axes) and the conventional cell measures 2.9638, 2.9638 and 30.7549 Å, with angles of 90.00, 90.00 and 120.00 degrees. The distinct sites, in fractional coordinates, are La at (0.0000, 0.0000, 0.0000), Cd at (0.0000, 0.0000, 0.2320), Ir at (0.0000, 0.0000, 0.4882) and Ir at (0.0000, 0.0000, 0.7546).

***

Entry 2:
The following is a DFT calculation (PBE) of ScCuRe2 after structural relaxation.

The energy above the most stable polymorph in this dataset comes out at 85.4 meV per atom. The value obtained for the formation energy from the elements is 14.1 kJ/mol of formula units. The calculation puts the mass density at 12.9 Mg/m³.

The space group is Pmmm (No. 47) and the conventional cell measures 3.1673, 4.3203 and 4.5123 Å, with angles of 90.00, 90.00 and 90.00 degrees. The distinct sites, in fractional coordinates, are Sc at (0.0000, 0.0000, 0.0000), Cu at (0.5000, 0.5000, 0.0000), Re at (0.0000, 0.5000, 0.5000) and Re at (0.5000, 0.0000, 0.5000).

***

Entry 3:
The following is a DFT calculation (PBE) of LaIn3Tc after structural relaxation.

The energy above the most stable polymorph in this dataset comes out at 0.0 meV per atom. The value obtained for the formation energy from the elements is -30.1 kJ/mol of formula units. The calculation puts the mass density at 7.0 Mg/m³.

The space group is Pm-3m (No. 221) and the conventional cell measures 5.1629, 5.1629 and 5.1629 Å, with angles of 90.00, 90.00 and 90.00 degrees. The distinct sites, in fractional coordinates, are La at (0.0000, 0.0000, 0.0000), In at (0.0000, 0.5000, 0.5000) and Tc at (0.5000, 0.5000, 0.5000).

***

Number 1: DFT total energy -5.5376 eV/atom. Number 2: DFT total energy -8.7945 eV/atom. Number 3: DFT total energy -4.7640 eV/atom.